[1]
A relaxed Tb3S crystal. Source: Alexandria via LeMat-Bulk, functional PBE. Values from VASP.

Its calculated total energy is -4.782 eV per atom. Its density is 8.569 g/cm³. For the calculated volume, the calculation gives 24.652 A^3/atom. As for the space-group type: Pm-3m (221).

```
&SYSTEM
  ibrav = 0, nat = 4, ntyp = 2
/
ATOMIC_SPECIES
Tb 158.93 Tb.upf
S 32.06 S.upf
ATOMIC_POSITIONS crystal
Tb 0.0000 0.0000 0.5000
Tb 0.0000 0.5000 0.0000
Tb 0.5000 0.0000 0.0000
S 0.5000 0.5000 0.5000
CELL_PARAMETERS angstrom
4.6200 0.0000 0.0000
0.0000 4.6200 0.0000
0.0000 0.0000 4.6200
```


[2]
A relaxed SrSeCl2 crystal. Source: Alexandria via LeMat-Bulk, functional PBE. Values from VASP.

Its calculated total energy is -3.395 eV per atom. Its density is 3.006 g/cm³. For the calculated volume, the calculation gives 32.792 A^3/atom. The distance to the lowest polymorph of the same formula comes out at 307 meV per atom. As for the space-group type: P2/m (10).

```
&SYSTEM
  ibrav = 0, nat = 4, ntyp = 3
/
ATOMIC_SPECIES
Sr 87.62 Sr.upf
Se 78.96 Se.upf
Cl 35.45 Cl.upf
ATOMIC_POSITIONS crystal
Sr 0.0000 0.0000 0.0000
Se 0.5000 0.0000 0.5000
Cl 0.2156 0.5000 0.7846
Cl 0.7844 0.5000 0.2154
CELL_PARAMETERS angstrom
5.5870 0.0000 0.0000
0.0000 4.3042 0.0000
-1.2687 0.0000 5.4546
```


[3]
A relaxed ErScSb2 crystal. Source: Alexandria via LeMat-Bulk, functional PBE. Values from VASP.

Its calculated total energy is -5.793 eV per atom. Its density is 6.916 g/cm³. For the calculated volume, the calculation gives 27.357 A^3/atom. The distance to the lowest polymorph of the same formula comes out at 3 meV per atom. As for the space-group type: Pmmn (59).

```
&SYSTEM
  ibrav = 0, nat = 8, ntyp = 3
/
ATOMIC_SPECIES
Er 167.26 Er.upf
Sc 44.96 Sc.upf
Sb 121.76 Sb.upf
ATOMIC_POSITIONS crystal
Er 0.2500 0.2500 0.1267
Er 0.7500 0.7500 0.8733
Sc 0.2500 0.2500 0.6243
Sc 0.7500 0.7500 0.3757
Sb 0.2500 0.7500 0.1337
Sb 0.2500 0.7500 0.6153
Sb 0.7500 0.2500 0.3847
Sb 0.7500 0.2500 0.8663
CELL_PARAMETERS angstrom
4.2556 0.0000 0.0000
0.0000 6.0422 0.0000
0.0000 0.0000 8.5117
```


[4]
A relaxed NaYGe2O6 crystal. Source: Alexandria via LeMat-Bulk, functional PBE. Values from VASP.

Its calculated total energy is -6.900 eV per atom. Its density is 4.138 g/cm³. For the calculated volume, the calculation gives 14.174 A^3/atom. As for the space-group type: C2/c (15).

```
&SYSTEM
  ibrav = 0, nat = 20, ntyp = 4
/
ATOMIC_SPECIES
Na 22.99 Na.upf
Y 88.91 Y.upf
Ge 72.64 Ge.upf
O 16.00 O.upf
ATOMIC_POSITIONS crystal
Na 0.1866 0.8134 0.7500
Na 0.8134 0.1866 0.2500
Y 0.3911 0.6089 0.2500
Y 0.6089 0.3911 0.7500
Ge 0.1229 0.2968 0.7449
Ge 0.2968 0.1229 0.2449
Ge 0.7032 0.8771 0.7551
Ge 0.8771 0.7032 0.2551
O 0.1090 0.6153 0.3340
O 0.1270 0.1585 0.9737
O 0.1585 0.1270 0.4737
O 0.3042 0.4619 0.8506
O 0.3847 0.8910 0.1660
O 0.4619 0.3042 0.3506
O 0.5381 0.6958 0.6494
O 0.6153 0.1090 0.8340
O 0.6958 0.5381 0.1494
O 0.8415 0.8730 0.5263
O 0.8730 0.8415 0.0263
O 0.8910 0.3847 0.6660
CELL_PARAMETERS angstrom
5.3195 -4.8621 0.0000
5.3195 4.8621 0.0000
-1.6944 0.0000 5.4801
```


[5]
A relaxed K2GaOs crystal. Source: Alexandria via LeMat-Bulk, functional PBE. Values from VASP.

Its calculated total energy is -3.015 eV per atom. Its density is 6.232 g/cm³. Its formation enthalpy at 0 K is 4.391 eV/f.u. For the calculated volume, the calculation gives 22.524 A^3/atom. As for the space-group type: I-42d (122).

```
&SYSTEM
  ibrav = 0, nat = 8, ntyp = 3
/
ATOMIC_SPECIES
K 39.10 K.upf
Ga 69.72 Ga.upf
Os 190.23 Os.upf
ATOMIC_POSITIONS crystal
K 0.1252 0.6250 0.0002
K 0.3750 0.3752 0.5002
K 0.6248 0.1250 0.9998
K 0.8750 0.8748 0.4998
Ga 0.0000 0.0000 0.0000
Ga 0.7500 0.2500 0.5000
Os 0.2500 0.7500 0.5000
Os 0.5000 0.5000 0.0000
CELL_PARAMETERS angstrom
-1.9658 1.9658 11.6573
1.9658 -1.9658 11.6573
1.9658 1.9658 -11.6573
```


[6]
A relaxed Hg3W crystal. Source: Alexandria via LeMat-Bulk, functional PBE. Values from VASP.

Its calculated total energy is -2.697 eV per atom. Its density is 16.138 g/cm³. Its formation enthalpy at 0 K is 3.069 eV/f.u. For the calculated volume, the calculation gives 20.209 A^3/atom. The distance to the lowest polymorph of the same formula comes out at 315 meV per atom. As for the space-group type: R-3m (166).

```
&SYSTEM
  ibrav = 0, nat = 4, ntyp = 2
/
ATOMIC_SPECIES
Hg 200.59 Hg.upf
W 183.84 W.upf
ATOMIC_POSITIONS crystal
Hg 0.0000 0.5000 0.5000
Hg 0.5000 0.0000 0.5000
Hg 0.5000 0.5000 0.0000
W 0.0000 0.0000 0.0000
CELL_PARAMETERS angstrom
4.9092 2.8343 0.9682
-4.9092 2.8343 0.9682
0.0000 -5.6687 0.9682
```


[7]
A relaxed Y3TlO crystal. Source: Alexandria via LeMat-Bulk, functional PBE. Values from VASP.

Its calculated total energy is -6.657 eV per atom. Its density is 6.743 g/cm³. For the calculated volume, the calculation gives 23.992 A^3/atom. As for the space-group type: C2/c (15).

```
&SYSTEM
  ibrav = 0, nat = 10, ntyp = 3
/
ATOMIC_SPECIES
Y 88.91 Y.upf
Tl 204.38 Tl.upf
O 16.00 O.upf
ATOMIC_POSITIONS crystal
Y 0.2471 0.7529 0.7500
Y 0.2507 0.2588 0.9995
Y 0.2588 0.2507 0.4995
Y 0.7412 0.7493 0.5005
Y 0.7493 0.7412 0.0005
Y 0.7529 0.2471 0.2500
Tl 0.2379 0.7621 0.2500
Tl 0.7621 0.2379 0.7500
O 0.4476 0.5524 0.7500
O 0.5524 0.4476 0.2500
CELL_PARAMETERS angstrom
3.2942 -5.5886 0.0000
3.2942 5.5886 0.0000
-0.1511 0.0000 6.5162
```


[8]
A relaxed BaFe2Pb crystal. Source: Alexandria via LeMat-Bulk, functional PBE. Values from VASP.

Its calculated total energy is -4.837 eV per atom. Its density is 8.176 g/cm³. Its formation enthalpy at 0 K is 3.208 eV/f.u. For the calculated volume, the calculation gives 23.164 A^3/atom. The distance to the lowest polymorph of the same formula comes out at 572 meV per atom. As for the space-group type: P4/mmm (123).

```
&SYSTEM
  ibrav = 0, nat = 4, ntyp = 3
/
ATOMIC_SPECIES
Ba 137.33 Ba.upf
Fe 55.84 Fe.upf
Pb 207.20 Pb.upf
ATOMIC_POSITIONS crystal
Ba 0.0000 0.0000 0.0000
Fe 0.0000 0.5000 0.5000
Fe 0.5000 0.0000 0.5000
Pb 0.5000 0.5000 0.0000
CELL_PARAMETERS angstrom
4.9750 0.0000 0.0000
0.0000 4.9750 0.0000
0.0000 0.0000 3.7435
```


Among the records above, which one has the lowest calculated volume?
NaYGe2O6


What is the formula in the second record?
SrSeCl2